1.
DFT (PBEsol) results for a relaxed structure of CdCuCl.

Cell lengths 3.3814, 3.3814, 5.5347 Å; angles 90.00, 90.00, 120.00 degrees
Last column: nearest neighbours and their distance in Å.
Fractional positions:
Cl  0.3333  0.6667  0.6115  3 Cu 2.42
Cu  0.6667  0.3333  0.3537  3 Cl 2.42, 3 Cd 2.63
Cd  0.0000  0.0000  0.0348  3 Cu 2.63

Properties
Offset from the most stable computed form, eV/atom: 0.000
ΔE_f (raw), eV per atom: -0.216


2.
DFT (PBEsol) results for a relaxed structure of CsCr2Rh.

Cell lengths 4.4292, 4.4292, 4.4292 Å; angles 60.00, 60.00, 60.00 degrees
Last column: nearest neighbours and their distance in Å.
Fractional positions:
Cs  0.5000  0.5000  0.5000  8 Cr 2.71
Cr  0.2500  0.2500  0.2500  4 Rh 2.71, 4 Cs 2.71
Cr  0.7500  0.7500  0.7500  4 Rh 2.71, 4 Cs 2.71
Rh  0.0000  0.0000  0.0000  8 Cr 2.71

Properties
Formation enthalpy at 0 K, meV/atom: 1691


3.
DFT (PBEsol) results for a relaxed structure of BaBi2Pt.

Cell lengths 5.3418, 5.3418, 10.2787 Å; angles 105.06, 105.06, 90.00 degrees
Last column: nearest neighbours and their distance in Å.
Fractional positions:
Bi  0.2555  0.8750  0.2500  2 Pt 2.83, 2 Bi 3.01
Bi  0.9945  0.3750  0.2500  2 Pt 2.83, 2 Bi 3.01
Bi  0.1250  0.0055  0.7500  2 Pt 2.83, 2 Bi 3.01
Bi  0.6250  0.7445  0.7500  2 Pt 2.83, 2 Bi 3.01
Pt  0.2500  0.7500  0.5000  4 Bi 2.83
Pt  0.0000  0.0000  0.0000  4 Bi 2.83
Ba  0.7500  0.2500  0.5000  4 Bi 3.38, 4 Pt 3.78
Ba  0.5000  0.5000  0.0000  4 Bi 3.38, 4 Pt 3.78

Properties
Formation enthalpy at 0 K, meV/atom: -265


4.
DFT (PBEsol) results for a relaxed structure of BaSb3.

Cell lengths 4.1467, 5.8431, 6.1908 Å; angles 112.46, 109.57, 90.00 degrees
Last column: nearest neighbours and their distance in Å.
Fractional positions:
Sb  0.5000  0.5000  0.0000  4 Sb 3.09
Sb  0.7854  0.3537  0.5709  4 Sb 3.01-3.09
Sb  0.2146  0.6463  0.4291  4 Sb 3.01-3.09
Ba  0.0000  0.0000  0.0000  12 Sb 3.58-3.84

Properties
ΔE_f (raw), eV per atom: -0.504


5.
DFT (PBEsol) results for a relaxed structure of SrIn2Os.

Cell lengths 4.5257, 4.5269, 6.2315 Å; angles 111.28, 90.00, 119.99 degrees
Last column: nearest neighbours and their distance in Å.
Fractional positions:
In  0.7885  0.5771  0.8655  3 Os 2.72, 3 In 3.02
In  0.2115  0.4229  0.1345  3 Os 2.72, 3 In 3.02
Os  0.5000  0.0000  0.0000  6 In 2.72
Sr  0.0000  0.0000  0.5000  8 In 3.33-3.59

Properties
Formation enthalpy at 0 K, meV/atom: 124


6.
DFT (PBEsol) results for a relaxed structure of Mg2Bi2Pd.

Cell lengths 3.8011, 3.8011, 8.8439 Å; angles 102.41, 102.41, 90.00 degrees
Last column: nearest neighbours and their distance in Å.
Fractional positions:
Mg  0.2500  0.7500  0.5000  4 Mg 2.69
Mg  0.7500  0.2500  0.5000  4 Mg 2.69
Bi  0.4069  0.4069  0.8138  4 Pd 3.11, 1 Bi 3.14, 4 Mg 3.26
Bi  0.5931  0.5931  0.1862  4 Pd 3.11, 1 Bi 3.14, 4 Mg 3.26
Pd  0.0000  0.0000  0.0000  8 Bi 3.11

Properties
Formation enthalpy at 0 K, meV/atom: 174


7.
DFT (PBEsol) results for a relaxed structure of TaSiMo3.

Cell lengths 4.6830, 4.6830, 4.6830 Å; angles 90.00, 90.00, 90.00 degrees
Last column: nearest neighbours and their distance in Å.
Fractional positions:
Mo  0.0000  0.5000  0.0000  2 Ta 2.34
Mo  0.0000  0.0000  0.5000  2 Ta 2.34
Mo  0.5000  0.0000  0.0000  2 Ta 2.34
Si  0.5000  0.5000  0.5000  12 Mo 3.31
Ta  0.0000  0.0000  0.0000  6 Mo 2.34

Properties
ΔE_f (raw), eV per atom: 2.099


8.
DFT (PBEsol) results for a relaxed structure of YCdAg2.

Cell lengths 4.5145, 5.0800, 4.5145 Å; angles 63.62, 90.00, 116.38 degrees
Last column: nearest neighbours and their distance in Å.
Fractional positions:
Y  0.7500  0.5000  0.7500  8 Ag 3.00-3.19, 4 Cd 3.00
Ag  0.5000  0.0000  0.5000  4 Ag 3.00, 4 Y 3.00, 4 Cd 3.19
Ag  0.2500  0.5000  0.2500  4 Ag 3.00, 4 Cd 3.00, 4 Y 3.19
Cd  0.0000  0.0000  0.0000  8 Ag 3.00-3.19, 4 Y 3.00

Properties
Formation enthalpy at 0 K, meV/atom: -247